[1]
# Li2MgPb

An optimized crystal structure of Li2MgPb (GGA-PBEsol, Alexandria).

Cell lengths 3.7827, 4.6603, 5.4811 Å; angles 115.16, 110.19, 90.00 degrees
Closest atoms and distances in Å follow each position.
Element x y z (fractional)
Mg  0.5062  0.5062  0.0124  8 Li 2.97-3.27, 4 Pb 3.06-3.19
Li  0.9944  0.9944  0.9888  2 Li 2.89, 2 Pb 2.97, 4 Mg 3.00
Li  0.2555  0.7555  0.5111  2 Li 2.89, 2 Mg 2.97, 4 Pb 3.00
Pb  0.7438  0.2438  0.4877  8 Li 2.97-3.27, 4 Mg 3.06-3.19

Computed properties:
**Mass density**: 5.04 g/cm3
**Fermi-level density of states**: 0.4778 states/eV/atom
**ΔE_f**: -0.218 eV/atom
**Total magnetization**: 0.000 μB per atom
**Raw total energy**: -2.6304 eV per atom

[2]
# Li2MgPb

An optimized crystal structure of Li2MgPb (GGA-PBEsol, Alexandria).

Cell lengths 4.7529, 4.7529, 4.7529 Å; angles 60.00, 60.00, 60.00 degrees
Closest atoms and distances in Å follow each position.
Element x y z (fractional)
Mg  0.0000  0.0000  0.0000  8 Li 2.91
Pb  0.5000  0.5000  0.5000  8 Li 2.91
Li  0.2500  0.2500  0.2500  4 Pb 2.91, 4 Mg 2.91
Li  0.7500  0.7500  0.7500  4 Mg 2.91, 4 Pb 2.91

Computed properties:
**Mass density**: 5.37 g/cm3
**Fermi-level density of states**: 0.2710 states/eV/atom
**ΔE_f**: -0.285 eV/atom
**Total magnetization**: 0.000 μB per atom
**Raw total energy**: -2.6977 eV per atom

[3]
# Li2MgPb

An optimized crystal structure of Li2MgPb (GGA-PBEsol, Alexandria).

Cell lengths 3.2572, 3.2572, 9.8878 Å; angles 80.52, 80.52, 60.00 degrees
Closest atoms and distances in Å follow each position.
Element x y z (fractional)
Li  0.2530  0.2530  0.2411  3 Pb 3.00, 3 Mg 3.14, 6 Li 3.26
Li  0.7470  0.7470  0.7589  3 Pb 3.00, 3 Mg 3.14, 6 Li 3.26
Pb  0.0000  0.0000  0.0000  6 Li 3.00, 6 Pb 3.26
Mg  0.5000  0.5000  0.5000  6 Li 3.14, 6 Mg 3.26

Computed properties:
**Mass density**: 4.57 g/cm3
**Fermi-level density of states**: 0.3288 states/eV/atom
**ΔE_f**: -0.108 eV/atom
**Total magnetization**: 0.000 μB per atom
**Raw total energy**: -2.5202 eV per atom

[4]
# Li2MgPb

An optimized crystal structure of Li2MgPb (GGA-PBEsol, Alexandria).

Cell lengths 3.5629, 3.5629, 6.5764 Å; angles 90.00, 90.00, 90.00 degrees
Closest atoms and distances in Å follow each position.
Element x y z (fractional)
Li  0.0000  0.0000  0.0050  4 Li 2.95, 4 Pb 2.96, 1 Mg 3.18
Li  0.5000  0.5000  0.2388  4 Li 2.95, 4 Mg 3.00, 1 Pb 3.09
Pb  0.5000  0.5000  0.7684  5 Li 2.96-3.09, 4 Mg 3.12
Mg  0.0000  0.0000  0.4879  5 Li 3.00-3.18, 4 Pb 3.12

Computed properties:
**Mass density**: 4.88 g/cm3
**Fermi-level density of states**: 0.2990 states/eV/atom
**ΔE_f**: -0.184 eV/atom
**Total magnetization**: 0.000 μB per atom
**Raw total energy**: -2.5967 eV per atom

[5]
# Li2MgPb

An optimized crystal structure of Li2MgPb (GGA-PBEsol, Alexandria).

Cell lengths 3.7864, 4.5640, 4.5640 Å; angles 90.00, 90.00, 90.00 degrees
Closest atoms and distances in Å follow each position.
Element x y z (fractional)
Li  0.0000  0.0000  0.5000  4 Mg 2.97, 4 Pb 2.97, 4 Li 3.23
Li  0.0000  0.5000  0.0000  4 Mg 2.97, 4 Pb 2.97, 4 Li 3.23
Mg  0.5000  0.5000  0.5000  8 Li 2.97, 4 Pb 3.23
Pb  0.5000  0.0000  0.0000  8 Li 2.97, 4 Mg 3.23

Computed properties:
**Mass density**: 5.17 g/cm3
**Fermi-level density of states**: 0.3097 states/eV/atom
**ΔE_f**: -0.244 eV/atom
**Total magnetization**: 0.000 μB per atom
**Raw total energy**: -2.6563 eV per atom

[6]
# Li2MgPb2

An optimized crystal structure of Li2MgPb2 (GGA-PBEsol, Alexandria).

Cell lengths 3.6766, 7.8756, 7.8756 Å; angles 90.00, 90.00, 90.00 degrees
Closest atoms and distances in Å follow each position.
Element x y z (fractional)
Pb  0.0000  0.3573  0.8573  6 Li 2.90-2.99, 2 Mg 3.03, 1 Pb 3.18
Pb  0.0000  0.6427  0.1427  6 Li 2.90-2.99, 2 Mg 3.03, 1 Pb 3.18
Pb  0.0000  0.1427  0.3573  6 Li 2.90-2.99, 2 Mg 3.03, 1 Pb 3.18
Pb  0.0000  0.8573  0.6427  6 Li 2.90-2.99, 2 Mg 3.03, 1 Pb 3.18
Mg  0.0000  0.5000  0.5000  4 Pb 3.03
Mg  0.0000  0.0000  0.0000  4 Pb 3.03
Li  0.5000  0.1563  0.6563  6 Pb 2.90-2.99
Li  0.5000  0.6563  0.8437  6 Pb 2.90-2.99
Li  0.5000  0.8437  0.3437  6 Pb 2.90-2.99
Li  0.5000  0.3437  0.1563  6 Pb 2.90-2.99

Computed properties:
**Mass density**: 6.59 g/cm3
**Fermi-level density of states**: 0.4066 states/eV/atom
**ΔE_f**: -0.185 eV/atom
**Total magnetization**: 0.000 μB per atom
**Raw total energy**: -2.9144 eV per atom

[7]
# LiMgPd

An optimized crystal structure of LiMgPd (GGA-PBEsol, Alexandria).

Cell lengths 4.4154, 4.4154, 5.4779 Å; angles 90.00, 90.00, 120.00 degrees
Closest atoms and distances in Å follow each position.
Element x y z (fractional)
Li  0.3333  0.6667  0.7210  5 Pd 2.66-2.82, 3 Li 2.70
Li  0.0000  0.0000  0.5562  5 Mg 2.66-2.82, 3 Li 2.70
Pd  0.6667  0.3333  0.8783  3 Li 2.69, 5 Mg 2.70-2.75
Pd  0.3333  0.6667  0.2067  2 Li 2.66-2.82, 6 Mg 2.70-2.72
Mg  0.6667  0.3333  0.3772  5 Pd 2.72-2.75, 3 Li 2.73
Mg  0.0000  0.0000  0.0420  2 Li 2.66-2.82, 6 Pd 2.70

Computed properties:
**Mass density**: 4.94 g/cm3
**Fermi-level density of states**: 0.3590 states/eV/atom
**ΔE_f**: -0.459 eV/atom
**Total magnetization**: 0.000 μB per atom
**Raw total energy**: -3.6728 eV per atom

[8]
# LiMgPd3

An optimized crystal structure of LiMgPd3 (GGA-PBEsol, Alexandria).

Cell lengths 4.6132, 4.6132, 4.6132 Å; angles 90.00, 90.00, 90.00 degrees
Closest atoms and distances in Å follow each position.
Element x y z (fractional)
Pd  0.0000  0.5000  0.0000  2 Mg 2.31
Pd  0.5000  0.0000  0.0000  2 Mg 2.31
Pd  0.0000  0.0000  0.5000  2 Mg 2.31
Mg  0.0000  0.0000  0.0000  6 Pd 2.31
Li  0.5000  0.5000  0.5000  12 Pd 3.26

Computed properties:
**Mass density**: 5.93 g/cm3
**Fermi-level density of states**: 0.2572 states/eV/atom
**ΔE_f**: 0.419 eV/atom
**Total magnetization**: 0.000 μB per atom
**Raw total energy**: -3.8934 eV per atom

Copy entry 8 word for word.
# LiMgPd3

An optimized crystal structure of LiMgPd3 (GGA-PBEsol, Alexandria).

Cell lengths 4.6132, 4.6132, 4.6132 Å; angles 90.00, 90.00, 90.00 degrees
Closest atoms and distances in Å follow each position.
Element x y z (fractional)
Pd  0.0000  0.5000  0.0000  2 Mg 2.31
Pd  0.5000  0.0000  0.0000  2 Mg 2.31
Pd  0.0000  0.0000  0.5000  2 Mg 2.31
Mg  0.0000  0.0000  0.0000  6 Pd 2.31
Li  0.5000  0.5000  0.5000  12 Pd 3.26

Computed properties:
**Mass density**: 5.93 g/cm3
**Fermi-level density of states**: 0.2572 states/eV/atom
**ΔE_f**: 0.419 eV/atom
**Total magnetization**: 0.000 μB per atom
**Raw total energy**: -3.8934 eV per atom